Entry 1:
Below is a relaxed SnMo4PbN2 crystal, with properties calculated at the GGA-PBE level.

abc: 3.282 3.282 13.166
angles: 90.00 90.00 120.00
Sites, in units of the cell vectors:
N (0.333, 0.667, 0.251)
N (0.333, 0.667, 0.749)
Pb (0.000, 0.000, 0.000)
Mo (0.667, 0.333, 0.820)
Mo (0.000, 0.000, 0.670)
Mo (0.667, 0.333, 0.180)
Mo (0.000, 0.000, 0.330)
Sn (0.667, 0.333, 0.500)

Results
Electronic total energy ... -67.07 eV per cell
Spin magnetization ... 0.00 μB/f.u.



Entry 2:
Below is a relaxed TlMo4PbN2 crystal, with properties calculated at the GGA-PBE level.

abc: 3.321 3.321 13.274
angles: 90.00 90.00 120.00
Sites, in units of the cell vectors:
Mo (0.667, 0.333, 0.180)
Mo (0.000, 0.000, 0.318)
Mo (0.667, 0.333, 0.820)
Mo (0.000, 0.000, 0.682)
Pb (0.667, 0.333, 0.500)
N (0.333, 0.667, 0.252)
N (0.333, 0.667, 0.748)
Tl (0.000, 0.000, 0.000)

Results
Electronic total energy ... -64.80 eV per cell
Spin magnetization ... 0.03 μB/f.u.



Entry 3:
Below is a relaxed Y4Mo2Pb3N3 crystal, with properties calculated at the GGA-PBE level.

abc: 6.030 6.030 14.998
angles: 100.63 100.63 60.22
Sites, in units of the cell vectors:
Mo (0.519, 0.375, 0.065)
Mo (0.625, 0.481, 0.435)
Mo (0.481, 0.625, 0.935)
Mo (0.375, 0.519, 0.565)
N (0.836, 0.332, 0.000)
N (0.164, 0.668, 0.000)
N (0.000, 0.500, 0.500)
N (0.668, 0.164, 0.500)
N (0.332, 0.836, 0.500)
N (0.500, 0.000, 0.000)
Y (0.853, 0.698, 0.086)
Y (0.799, 0.979, 0.914)
Y (0.201, 0.021, 0.086)
Y (0.302, 0.147, 0.414)
Y (0.147, 0.302, 0.914)
Y (0.698, 0.853, 0.586)
Y (0.979, 0.799, 0.414)
Y (0.021, 0.201, 0.586)
Pb (0.584, 0.721, 0.253)
Pb (0.721, 0.584, 0.753)
Pb (0.416, 0.279, 0.747)
Pb (0.117, 0.883, 0.750)
Pb (0.883, 0.117, 0.250)
Pb (0.279, 0.416, 0.247)

Results
Electronic total energy ... -183.06 eV per cell
Spin magnetization ... 0.01 μB/f.u.



Entry 4:
Below is a relaxed ZnMo4PbN2 crystal, with properties calculated at the GGA-PBE level.

abc: 3.234 3.234 12.914
angles: 90.00 90.00 120.00
Sites, in units of the cell vectors:
N (0.333, 0.667, 0.759)
N (0.333, 0.667, 0.241)
Pb (0.667, 0.333, 0.500)
Mo (0.000, 0.000, 0.687)
Mo (0.000, 0.000, 0.313)
Mo (0.667, 0.333, 0.156)
Mo (0.667, 0.333, 0.844)
Zn (0.000, 0.000, 0.000)

Results
Electronic total energy ... -64.11 eV per cell
Spin magnetization ... 0.02 μB/f.u.



Entry 5:
Below is a relaxed Zr2Mo4Pb3N3 crystal, with properties calculated at the GGA-PBE level.

abc: 5.749 5.749 14.151
angles: 101.61 101.61 60.05
Sites, in units of the cell vectors:
Pb (0.580, 0.770, 0.747)
Pb (0.065, 0.935, 0.250)
Pb (0.420, 0.230, 0.253)
Pb (0.230, 0.420, 0.753)
Pb (0.770, 0.580, 0.247)
Pb (0.935, 0.065, 0.750)
N (0.337, 0.826, 0.000)
N (0.663, 0.174, 0.000)
N (0.826, 0.337, 0.500)
N (0.000, 0.500, 0.000)
N (0.500, 0.000, 0.500)
N (0.174, 0.663, 0.500)
Zr (0.473, 0.652, 0.416)
Zr (0.348, 0.527, 0.084)
Zr (0.527, 0.348, 0.584)
Zr (0.652, 0.473, 0.916)
Mo (0.310, 0.121, 0.926)
Mo (0.879, 0.690, 0.574)
Mo (0.121, 0.310, 0.426)
Mo (0.956, 0.828, 0.926)
Mo (0.828, 0.956, 0.426)
Mo (0.172, 0.044, 0.574)
Mo (0.044, 0.172, 0.074)
Mo (0.690, 0.879, 0.074)

Results
Electronic total energy ... -198.20 eV per cell
Spin magnetization ... 0.02 μB/f.u.



Entry 6:
Below is a relaxed Mo3PdN crystal, with properties calculated at the GGA-PBE level.

abc: 4.107 4.107 4.107
angles: 90.00 90.00 90.00
Sites, in units of the cell vectors:
Mo (0.500, 0.000, 0.000)
Mo (0.000, 0.000, 0.500)
Mo (0.000, 0.500, 0.000)
Pd (0.500, 0.500, 0.500)
N (0.000, 0.000, 0.000)

Results
Electronic total energy ... -46.71 eV per cell
Spin magnetization ... 0.00 μB/f.u.



Entry 7:
Below is a relaxed Mo3Pd2N crystal, with properties calculated at the GGA-PBE level.

abc: 6.865 6.865 6.865
angles: 90.00 90.00 90.00
Sites, in units of the cell vectors:
Mo (0.203, 0.547, 0.375)
Mo (0.297, 0.453, 0.875)
Mo (0.453, 0.875, 0.297)
Mo (0.875, 0.297, 0.453)
Mo (0.953, 0.625, 0.703)
Mo (0.047, 0.125, 0.797)
Mo (0.797, 0.047, 0.125)
Mo (0.375, 0.203, 0.547)
Mo (0.703, 0.953, 0.625)
Mo (0.625, 0.703, 0.953)
Mo (0.547, 0.375, 0.203)
Mo (0.125, 0.797, 0.047)
Pd (0.689, 0.311, 0.811)
Pd (0.561, 0.561, 0.561)
Pd (0.439, 0.061, 0.939)
Pd (0.061, 0.939, 0.439)
Pd (0.189, 0.189, 0.189)
Pd (0.311, 0.811, 0.689)
Pd (0.811, 0.689, 0.311)
Pd (0.939, 0.439, 0.061)
N (0.625, 0.125, 0.375)
N (0.125, 0.375, 0.625)
N (0.875, 0.875, 0.875)
N (0.375, 0.625, 0.125)

Results
Electronic total energy ... -210.03 eV per cell
Spin magnetization ... 0.00 μB/f.u.



Entry 8:
Below is a relaxed Rb2MoPdN4 crystal, with properties calculated at the GGA-PBE level.

abc: 5.761 5.761 5.761
angles: 114.32 114.32 100.15
Sites, in units of the cell vectors:
N (0.749, 0.871, 0.316)
N (0.129, 0.444, 0.877)
N (0.556, 0.433, 0.684)
N (0.567, 0.251, 0.123)
Rb (0.000, 0.000, 0.000)
Rb (0.250, 0.750, 0.500)
Pd (0.750, 0.250, 0.500)
Mo (0.500, 0.500, 0.000)

Results
Electronic total energy ... -49.83 eV per cell
Spin magnetization ... 0.03 μB/f.u.



Entry 9:
Below is a relaxed Pm2MoN3 crystal, with properties calculated at the GGA-PBE level.

abc: 6.918 6.918 6.918
angles: 150.94 146.77 44.71
Sites, in units of the cell vectors:
Pm (0.351, 0.351, 0.000)
Pm (0.649, 0.649, 0.000)
Mo (0.000, 0.000, 0.000)
N (0.500, 0.000, 0.500)
N (0.840, 0.840, 0.000)
N (0.160, 0.160, 0.000)

Results
Electronic total energy ... -51.90 eV per cell
Spin magnetization ... 0.00 μB/f.u.



Entry 10:
Below is a relaxed Pm2MoN4 crystal, with properties calculated at the GGA-PBE level.

abc: 5.856 5.863 6.817
angles: 90.00 108.57 90.00
Sites, in units of the cell vectors:
N (0.460, 0.507, 0.755)
N (0.030, 0.750, 0.851)
N (0.052, 0.750, 0.418)
N (0.540, 0.493, 0.245)
N (0.540, 0.007, 0.245)
N (0.460, 0.993, 0.755)
N (0.948, 0.250, 0.582)
N (0.970, 0.250, 0.149)
Pm (0.682, 0.750, 0.530)
Pm (0.318, 0.250, 0.470)
Pm (0.235, 0.250, 0.940)
Pm (0.765, 0.750, 0.060)
Mo (0.764, 0.250, 0.306)
Mo (0.236, 0.750, 0.694)

Results
Electronic total energy ... -121.21 eV per cell
Spin magnetization ... 0.00 μB/f.u.



Entry 11:
Below is a relaxed Pr2MoN4 crystal, with properties calculated at the GGA-PBE level.

abc: 5.926 5.879 6.969
angles: 90.00 109.00 90.00
Sites, in units of the cell vectors:
N (0.063, 0.750, 0.924)
N (0.937, 0.250, 0.076)
N (0.038, 0.750, 0.351)
N (0.539, 0.006, 0.742)
N (0.461, 0.506, 0.258)
N (0.962, 0.250, 0.649)
N (0.461, 0.994, 0.258)
N (0.539, 0.494, 0.742)
Mo (0.243, 0.750, 0.197)
Mo (0.757, 0.250, 0.803)
Pr (0.773, 0.750, 0.562)
Pr (0.227, 0.250, 0.438)
Pr (0.687, 0.750, 0.031)
Pr (0.313, 0.250, 0.969)

Results
Electronic total energy ... -120.81 eV per cell
Spin magnetization ... 0.00 μB/f.u.



Entry 12:
Below is a relaxed Pr3Mo2N6 crystal, with properties calculated at the GGA-PBE level.

abc: 10.221 10.221 10.221
angles: 157.47 157.47 32.08
Sites, in units of the cell vectors:
N (0.086, 0.586, 0.500)
N (0.302, 0.302, 0.000)
N (0.586, 0.086, 0.500)
N (0.414, 0.914, 0.500)
N (0.914, 0.414, 0.500)
N (0.698, 0.698, 0.000)
Pr (0.181, 0.181, 0.000)
Pr (0.819, 0.819, 0.000)
Pr (0.000, 0.000, 0.000)
Mo (0.402, 0.402, 0.000)
Mo (0.598, 0.598, 0.000)

Results
Electronic total energy ... -96.66 eV per cell
Spin magnetization ... 0.00 μB/f.u.



Entry 13:
Below is a relaxed Pr3Re3Mo2N12 crystal, with properties calculated at the GGA-PBE level.

abc: 11.228 11.228 11.228
angles: 109.47 109.47 109.47
Sites, in units of the cell vectors:
N (0.102, 0.613, 0.417)
N (0.417, 0.102, 0.613)
N (0.184, 0.489, 0.602)
N (0.398, 0.816, 0.511)
N (0.816, 0.511, 0.398)
N (0.887, 0.989, 0.805)
N (0.989, 0.805, 0.887)
N (0.816, 0.805, 0.417)
N (0.887, 0.398, 0.083)
N (0.102, 0.989, 0.684)
N (0.898, 0.011, 0.316)
N (0.613, 0.417, 0.102)
N (0.195, 0.113, 0.011)
N (0.805, 0.887, 0.989)
N (0.184, 0.195, 0.583)
N (0.805, 0.417, 0.816)
N (0.511, 0.613, 0.695)
N (0.489, 0.602, 0.184)
N (0.387, 0.305, 0.489)
N (0.398, 0.083, 0.887)
N (0.011, 0.316, 0.898)
N (0.684, 0.102, 0.989)
N (0.583, 0.898, 0.387)
N (0.695, 0.511, 0.613)
N (0.989, 0.684, 0.102)
N (0.684, 0.083, 0.695)
N (0.083, 0.695, 0.684)
N (0.695, 0.684, 0.083)
N (0.917, 0.305, 0.316)
N (0.316, 0.917, 0.305)
N (0.613, 0.695, 0.511)
N (0.602, 0.184, 0.489)
N (0.195, 0.583, 0.184)
N (0.083, 0.887, 0.398)
N (0.011, 0.195, 0.113)
N (0.316, 0.898, 0.011)
N (0.305, 0.489, 0.387)
N (0.583, 0.184, 0.195)
N (0.113, 0.602, 0.917)
N (0.387, 0.583, 0.898)
N (0.113, 0.011, 0.195)
N (0.305, 0.316, 0.917)
N (0.511, 0.398, 0.816)
N (0.489, 0.387, 0.305)
N (0.898, 0.387, 0.583)
N (0.602, 0.917, 0.113)
N (0.917, 0.113, 0.602)
N (0.417, 0.816, 0.805)
Pr (0.250, 0.875, 0.625)
Pr (0.625, 0.875, 0.750)
Pr (0.875, 0.625, 0.250)
Pr (0.125, 0.375, 0.750)
Pr (0.750, 0.125, 0.375)
Pr (0.625, 0.250, 0.875)
Pr (0.375, 0.125, 0.250)
Pr (0.375, 0.750, 0.125)
Pr (0.250, 0.375, 0.125)
Pr (0.125, 0.250, 0.375)
Pr (0.875, 0.750, 0.625)
Pr (0.750, 0.625, 0.875)
Re (0.750, 0.875, 0.125)
Re (0.750, 0.375, 0.625)
Re (0.250, 0.625, 0.375)
Re (0.125, 0.750, 0.875)
Re (0.125, 0.875, 0.250)
Re (0.625, 0.750, 0.375)
Re (0.375, 0.625, 0.750)
Re (0.875, 0.250, 0.125)
Re (0.625, 0.375, 0.250)
Re (0.250, 0.125, 0.875)
Re (0.375, 0.250, 0.625)
Re (0.875, 0.125, 0.750)
Mo (0.000, 0.000, 0.500)
Mo (0.500, 0.500, 0.000)
Mo (0.000, 0.500, 0.500)
Mo (0.500, 0.500, 0.500)
Mo (0.500, 0.000, 0.500)
Mo (0.000, 0.500, 0.000)
Mo (0.500, 0.000, 0.000)
Mo (0.000, 0.000, 0.000)

Results
Electronic total energy ... -737.21 eV per cell
Spin magnetization ... 0.10 μB/f.u.



Entry 14:
Below is a relaxed Pr3Re2Mo3N12 crystal, with properties calculated at the GGA-PBE level.

abc: 11.196 11.196 11.196
angles: 109.47 109.47 109.47
Sites, in units of the cell vectors:
N (0.580, 0.900, 0.388)
N (0.420, 0.100, 0.612)
N (0.820, 0.512, 0.400)
N (0.388, 0.580, 0.900)
N (0.692, 0.680, 0.080)
N (0.112, 0.012, 0.192)
N (0.988, 0.680, 0.100)
N (0.808, 0.888, 0.988)
N (0.820, 0.808, 0.420)
N (0.308, 0.320, 0.920)
N (0.100, 0.612, 0.420)
N (0.400, 0.820, 0.512)
N (0.888, 0.400, 0.080)
N (0.180, 0.192, 0.580)
N (0.320, 0.900, 0.012)
N (0.600, 0.920, 0.112)
N (0.900, 0.388, 0.580)
N (0.488, 0.600, 0.180)
N (0.308, 0.488, 0.388)
N (0.180, 0.488, 0.600)
N (0.192, 0.112, 0.012)
N (0.888, 0.988, 0.808)
N (0.112, 0.600, 0.920)
N (0.680, 0.080, 0.692)
N (0.920, 0.308, 0.320)
N (0.900, 0.012, 0.320)
N (0.100, 0.988, 0.680)
N (0.488, 0.388, 0.308)
N (0.988, 0.808, 0.888)
N (0.580, 0.180, 0.192)
N (0.512, 0.400, 0.820)
N (0.600, 0.180, 0.488)
N (0.680, 0.100, 0.988)
N (0.080, 0.888, 0.400)
N (0.080, 0.692, 0.680)
N (0.012, 0.192, 0.112)
N (0.012, 0.320, 0.900)
N (0.920, 0.112, 0.600)
N (0.320, 0.920, 0.308)
N (0.612, 0.692, 0.512)
N (0.512, 0.612, 0.692)
N (0.808, 0.420, 0.820)
N (0.612, 0.420, 0.100)
N (0.692, 0.512, 0.612)
N (0.388, 0.308, 0.488)
N (0.400, 0.080, 0.888)
N (0.420, 0.820, 0.808)
N (0.192, 0.580, 0.180)
Pr (0.250, 0.875, 0.625)
Pr (0.250, 0.375, 0.125)
Pr (0.375, 0.750, 0.125)
Pr (0.875, 0.625, 0.250)
Pr (0.125, 0.250, 0.375)
Pr (0.375, 0.125, 0.250)
Pr (0.625, 0.875, 0.750)
Pr (0.125, 0.375, 0.750)
Pr (0.750, 0.125, 0.375)
Pr (0.625, 0.250, 0.875)
Pr (0.750, 0.625, 0.875)
Pr (0.875, 0.750, 0.625)
Mo (0.125, 0.750, 0.875)
Mo (0.250, 0.625, 0.375)
Mo (0.625, 0.375, 0.250)
Mo (0.750, 0.375, 0.625)
Mo (0.875, 0.250, 0.125)
Mo (0.375, 0.625, 0.750)
Mo (0.750, 0.875, 0.125)
Mo (0.250, 0.125, 0.875)
Mo (0.375, 0.250, 0.625)
Mo (0.125, 0.875, 0.250)
Mo (0.625, 0.750, 0.375)
Mo (0.875, 0.125, 0.750)
Re (0.000, 0.000, 0.500)
Re (0.000, 0.500, 0.500)
Re (0.000, 0.500, 0.000)
Re (0.500, 0.000, 0.500)
Re (0.500, 0.500, 0.000)
Re (0.500, 0.500, 0.500)
Re (0.500, 0.000, 0.000)
Re (0.000, 0.000, 0.000)

Results
Electronic total energy ... -732.07 eV per cell
Spin magnetization ... 0.02 μB/f.u.